Hg2Au2S (PBE-GGA, relaxed); formation energy from raw total energies = 221 meV/atom; DOS(E_F) = 3.116 states/eV per cell
1.0
7.069 0.000 0.000
0.000 7.069 0.000
0.000 0.000 4.269
Hg Au S
4 4 2
Direct
0.154 0.346 0.000
0.346 0.846 0.000
0.654 0.154 0.000
0.846 0.654 0.000
0.154 0.654 0.500
0.346 0.154 0.500
0.654 0.846 0.500
0.846 0.346 0.500
0.000 0.000 0.500
0.500 0.500 0.500

Hg2Au2S (PBE-GGA, relaxed); formation energy from raw total energies = 166 meV/atom; DOS(E_F) = 1.188 states/eV per cell
1.0
-1.924 1.924 7.395
1.924 -1.924 7.395
1.924 1.924 -7.395
Hg Au S
2 2 1
Direct
0.097 0.097 0.000
0.903 0.903 0.000
0.250 0.750 0.500
0.750 0.250 0.500
0.500 0.500 0.000

HgAuS4 (PBE-GGA, relaxed); formation energy from raw total energies = 120 meV/atom; DOS(E_F) = 3.801 states/eV per cell
1.0
5.464 0.000 0.000
0.000 13.286 0.000
-2.307 0.000 5.012
Hg Au S
2 2 8
Direct
0.000 0.110 0.250
0.000 0.890 0.750
0.500 0.396 0.250
0.500 0.604 0.750
0.037 0.395 0.085
0.037 0.605 0.585
0.182 0.118 0.726
0.182 0.882 0.226
0.818 0.118 0.774
0.818 0.882 0.274
0.963 0.395 0.415
0.963 0.605 0.915

Hg2AuSeS (PBE-GGA, relaxed); formation energy from raw total energies = 587 meV/atom; DOS(E_F) = 3.270 states/eV per cell
1.0
5.435 0.000 0.000
0.000 5.435 0.000
0.000 0.000 4.722
Hg Au Se S
2 1 1 1
Direct
0.000 0.500 0.000
0.500 0.000 0.000
0.000 0.000 0.500
0.500 0.500 0.000
0.500 0.500 0.500

SrHgAu2S (PBE-GGA, relaxed); formation energy from raw total energies = 136 meV/atom; DOS(E_F) = 3.944 states/eV per cell
1.0
5.100 0.000 0.000
0.000 5.100 0.000
0.000 0.000 6.461
Sr Hg Au S
1 1 2 1
Direct
0.000 0.000 0.000
0.000 0.000 0.500
0.000 0.500 0.500
0.500 0.000 0.500
0.500 0.500 0.000

TlHgAu2S (PBE-GGA, relaxed); formation energy from raw total energies = 652 meV/atom; DOS(E_F) = 3.109 states/eV per cell
1.0
5.438 0.000 0.000
0.000 5.438 0.000
0.000 0.000 5.081
Tl Hg Au S
1 1 2 1
Direct
0.000 0.000 0.000
0.500 0.500 0.500
0.000 0.500 0.000
0.500 0.000 0.000
0.000 0.000 0.500